Density functional theory data (PBE+U) for an optimized crystal structure of K3Er2MnO6.

For the magnetization, the calculation gives 0.333 μB per atom. The calculation puts the total energy at -6.47 eV/atom.

It has space group C2/m (No. 12), with a = 5.753 Å, b = 10.179 Å, c = 6.487 Å, α = 90.00°, β = 106.80° and γ = 90.00°. The distinct sites, in fractional coordinates, are K at (0.000, 0.000, 0.000), K at (0.000, 0.338, 0.000), Er at (0.000, 0.170, 0.500), Mn at (0.000, 0.500, 0.500), O at (0.227, 0.335, 0.690) and O at (0.244, 0.500, 0.333).